Entry from the Alexandria database: a relaxed structure of AsOsCl (PBE).

Lattice parameters (Å, degrees): 3.1174 3.1174 7.6486 90.00 90.00 120.00
Fractional positions:
As: 0.0000 0.0000 0.0000
Os: 0.3333 0.6667 0.7759
Cl: 0.6667 0.3333 0.5248

Summary:
DOS(E_F) ... 2.24 states/eV/f.u.
E_tot ... -5.674 eV/atom
Raw formation energy ... 0.7 eV/f.u.
Distance to the lowest polymorph of the same formula ... 18 kJ/mol of formula units